# Fe4O7F PBE with a Hubbard U optimized geometry
data_Fe4O7F
_chemical_formula_sum 'Fe8 O14 F2'
_space_group_name_H-M_alt 'P 1'
_space_group_IT_number 1
_cell_length_a 4.576
_cell_length_b 7.545
_cell_length_c 7.565
_cell_angle_alpha 74.59
_cell_angle_beta 90.00
_cell_angle_gamma 90.00
loop_
_space_group_symop_operation_xyz
'x,y,z'
loop_
_atom_site_label
_atom_site_type_symbol
_atom_site_fract_x
_atom_site_fract_y
_atom_site_fract_z
Fe1 Fe 0.476 0.556 0.821
Fe2 Fe 0.976 0.444 0.179
Fe3 Fe 0.498 0.816 0.055
Fe4 Fe 0.012 0.949 0.687
Fe5 Fe 0.517 0.312 0.576
Fe6 Fe 0.512 0.051 0.313
Fe7 Fe 0.998 0.184 0.945
Fe8 Fe 0.017 0.688 0.424
O1 O 0.804 0.967 0.909
O2 O 0.696 0.091 0.535
O3 O 0.805 0.214 0.163
O4 O 0.701 0.342 0.797
O5 O 0.811 0.466 0.406
O6 O 0.311 0.534 0.594
O7 O 0.201 0.658 0.203
O8 O 0.304 0.033 0.091
O9 O 0.695 0.834 0.277
O10 O 0.195 0.166 0.723
O11 O 0.305 0.786 0.837
O12 O 0.196 0.909 0.465
O13 O 0.182 0.402 0.974
O14 O 0.682 0.598 0.026
F1 F 0.303 0.285 0.343
F2 F 0.803 0.715 0.657
# polymorph energy (0 for the lowest one)	0.054	eV per atom
# crystal system	monoclinic
# M_tot	30.337	μB per cell
# calculated density	4.7	g/cm3
# DFT total energy	-6.08	eV/atom